(1)
Here is crystalline K4Cu3 at its relaxed geometry from Alexandria via LeMat-Bulk. Energies are from PBE-GGA.

Cell lengths 5.8707, 5.8707, 7.3391 Å; angles 90.00, 90.00, 120.00 degrees
Last column: nearest neighbours and their distance in Å.
Positions (direct):
K: 0.0000 0.0000 0.2149  1 K 3.15, 6 Cu 3.33
K: 0.0000 0.0000 0.7851  1 K 3.15, 6 Cu 3.33
K: 0.3333 0.6667 0.5000  3 K 3.39
K: 0.6667 0.3333 0.5000  3 K 3.39
Cu: 0.5000 0.0000 0.0000  4 Cu 2.94
Cu: 0.0000 0.5000 0.0000  4 Cu 2.94
Cu: 0.5000 0.5000 0.0000  4 Cu 2.94

Space-group type: P6/mmm
ΔE_f in eV/f.u.: 3.4

(2)
Here is crystalline Th4Cd5Ni2 at its relaxed geometry from Alexandria via LeMat-Bulk. Energies are from PBE-GGA.

Cell lengths 3.7346, 7.7943, 9.5968 Å; angles 94.11, 90.00, 90.00 degrees
Last column: nearest neighbours and their distance in Å.
Positions (direct):
Cd: 0.0000 0.5454 0.3204  1 Ni 3.02, 2 Cd 3.07-3.17
Cd: 0.0000 0.1832 0.1472  2 Cd 2.93-3.17, 1 Ni 2.98
Cd: 0.0000 0.8168 0.8528  2 Cd 2.93-3.17, 1 Ni 2.98
Cd: 0.0000 0.5000 0.0000  4 Cd 2.93-3.07
Cd: 0.0000 0.4546 0.6796  1 Ni 3.02, 2 Cd 3.07-3.17
Ni: 0.0000 0.9321 0.3676  1 Ni 2.68, 6 Th 2.84-2.96, 1 Cd 2.98
Ni: 0.0000 0.0679 0.6324  1 Ni 2.68, 6 Th 2.84-2.96, 1 Cd 2.98
Th: 0.5000 0.1671 0.8460  2 Ni 2.84
Th: 0.5000 0.2176 0.4437  4 Ni 2.90-2.96
Th: 0.5000 0.7824 0.5563  4 Ni 2.90-2.96
Th: 0.5000 0.8329 0.1540  2 Ni 2.84

Space-group type: P2/m
ΔE_f in eV/f.u.: -2.5

(3)
Here is crystalline TaHgRu at its relaxed geometry from Alexandria via LeMat-Bulk. Energies are from PBE-GGA.

Cell lengths 3.0666, 3.0666, 6.7572 Å; angles 90.00, 90.00, 120.00 degrees
Last column: nearest neighbours and their distance in Å.
Positions (direct):
Hg: 0.0000 0.0000 0.0033  3 Ru 2.99, 3 Ta 3.05, 6 Hg 3.07
Ru: 0.6667 0.3333 0.3607  3 Ta 2.57
Ta: 0.3333 0.6667 0.6360  3 Ru 2.57

Excess energy over the best structure of this formula in the dataset in eV per formula unit: 0.33
Space-group type: P3m1
ΔE_f in eV/f.u.: 0.6

(4)
Here is crystalline Y3Ag3AuO8 at its relaxed geometry from Alexandria via LeMat-Bulk. Energies are from PBE-GGA.

Cell lengths 6.9722, 6.9329, 9.8307 Å; angles 131.37, 90.00, 120.19 degrees
Last column: nearest neighbours and their distance in Å.
Positions (direct):
Ag: 0.0000 0.0000 0.0000  2 O 2.11
Ag: 0.0000 0.5000 0.0000  2 O 2.07
Ag: 0.5000 0.5000 0.0000  2 O 2.07
O: 0.7800 0.0571 0.6749  1 Ag 2.07, 1 Au 2.28, 2 Y 2.29-2.31
O: 0.7230 0.9429 0.3251  1 Ag 2.07, 1 Au 2.28, 2 Y 2.29-2.31
O: 0.2770 0.0571 0.6749  1 Ag 2.07, 1 Au 2.28, 2 Y 2.29-2.31
O: 0.2200 0.9429 0.3251  1 Ag 2.07, 1 Au 2.28, 2 Y 2.29-2.31
O: 0.7532 0.5063 0.3510  1 Au 2.07, 2 Y 2.30
O: 0.7717 0.5435 0.6689  1 Ag 2.11, 3 Y 2.26-2.28
O: 0.2283 0.4565 0.3311  1 Ag 2.11, 3 Y 2.26-2.28
O: 0.2468 0.4937 0.6490  1 Au 2.07, 2 Y 2.30
Y: 0.5000 0.0000 0.5000  6 O 2.26-2.29
Y: 0.0000 0.5000 0.5000  6 O 2.28-2.31
Y: 0.5000 0.5000 0.5000  6 O 2.28-2.31
Au: 0.0000 0.0000 0.5000  6 O 2.07-2.28

Space-group type: C2/m
E_form (uncorrected) in eV per atom: -1.684

The calculation returns the following magnetic moment values, one per record and in order: 0.0, 0.0, 0.0, 0.9 μB per formula unit.